Record 1
Compound: BaCaBe3
Source: the Alexandria database
Functional: PBE
Structure: relaxed

The structure belongs to space group Pm-3m (No. 221); the cell edges are 5.327, 5.327 and 5.327 Å and the angles 90.00°, 90.00° and 90.00°. The inequivalent atoms are Ba at (0.000, 0.000, 0.000), Ca at (0.500, 0.500, 0.500) and Be at (0.000, 0.500, 0.500).

The value obtained for the mass density is 2.25 Mg/m³. The crystal system is cubic. As for the energy above the most stable polymorph in this dataset: 0.00 eV per formula unit. The calculation puts the density of states at the Fermi level at 6.05 states/eV/cell.

***

Record 2
Compound: BaCaBe
Source: the Alexandria database
Functional: PBE
Structure: relaxed

The structure belongs to space group P3m1 (No. 156); the cell edges are 4.4018, 4.4018 and 7.1708 Å and the angles 90.00°, 90.00° and 120.00°. The inequivalent atoms are Ba at (0.0000, 0.0000, 0.0000), Ca at (0.6667, 0.3333, 0.4895) and Be at (0.3333, 0.6667, 0.2819).

The value obtained for the mass density is 2.57 Mg/m³. The crystal system is trigonal. As for the energy above the most stable polymorph in this dataset: 0.42 eV per formula unit. The calculation puts the density of states at the Fermi level at 2.95 states/eV/cell.

***

Record 3
Compound: BaCaBe2
Source: the Alexandria database
Functional: PBE
Structure: relaxed

The structure belongs to space group Cm (No. 8); the cell edges are 7.094, 4.091 and 8.280 Å and the angles 90.00°, 106.31° and 90.00°. The inequivalent atoms are Ba at (0.000, 0.000, 0.000), Ca at (0.170, 0.000, 0.515), Be at (0.262, 0.500, 0.288) and Be at (0.429, 0.000, 0.289).

The value obtained for the mass density is 2.81 Mg/m³. The crystal system is monoclinic. As for the energy above the most stable polymorph in this dataset: 0.00 eV per formula unit. The calculation puts the density of states at the Fermi level at 8.26 states/eV/cell.